This record from Alexandria via LeMat-Bulk describes Mg2Hg2Pb after structural relaxation. The functional is PBE-GGA.

Structure (POSCAR):
```
Mg2Hg2Pb
1.0
8.369 0.000 0.000
0.000 8.369 0.000
0.000 0.000 3.425
Mg Hg Pb
4 4 2
direct
0.166 0.334 0.000
0.334 0.834 0.000
0.666 0.166 0.000
0.834 0.666 0.000
0.131 0.631 0.500
0.369 0.131 0.500
0.631 0.869 0.500
0.869 0.369 0.500
0.000 0.000 0.500
0.500 0.500 0.500
```

* calculated density: 9.095 g/cm³
* space group: No. 127
* offset from the most stable computed form: 0.000 eV/atom
* formation energy from the elements: -58 kJ/mol of formula units

***

This record from Alexandria via LeMat-Bulk describes CrNiHg3 after structural relaxation. The functional is PBE-GGA.

Structure (POSCAR):
```
CrNiHg3
1.0
5.231 0.000 0.000
0.000 5.231 0.000
0.000 0.000 5.231
Cr Ni Hg
1 1 3
direct
0.000 0.000 0.000
0.500 0.500 0.500
0.000 0.000 0.500
0.000 0.500 0.000
0.500 0.000 0.000
```

* calculated density: 8.266 g/cm³
* space group: No. 221
* offset from the most stable computed form: 0.482 eV/atom
* formation energy from the elements: 515 kJ/mol of formula units

***

This record from Alexandria via LeMat-Bulk describes Na3YN6 after structural relaxation. The functional is PBE-GGA.

Structure (POSCAR):
```
Na3YN6
1.0
0.000 5.081 11.076
3.611 0.000 11.076
3.611 5.081 0.000
Na Y N
6 2 12
direct
0.125 0.125 0.125
0.212 0.212 0.538
0.462 0.462 0.788
0.538 0.538 0.212
0.788 0.788 0.462
0.875 0.875 0.875
0.375 0.375 0.375
0.625 0.625 0.625
0.062 0.541 0.654
0.142 0.608 0.142
0.243 0.654 0.541
0.346 0.757 0.938
0.392 0.858 0.392
0.459 0.938 0.757
0.541 0.062 0.243
0.608 0.142 0.608
0.654 0.243 0.062
0.757 0.346 0.459
0.858 0.392 0.858
0.938 0.459 0.346
```

* calculated density: 1.977 g/cm³
* E_form (uncorrected): 1.5610 eV per atom
* space group: No. 70

***

This record from Alexandria via LeMat-Bulk describes Mg2NbTl after structural relaxation. The functional is PBE-GGA.

Structure (POSCAR):
```
Mg2NbTl
1.0
-3.916 3.916 2.925
3.916 -3.916 2.925
3.916 3.916 -2.925
Mg Nb Tl
4 2 2
direct
0.118 0.125 0.493
0.375 0.882 0.007
0.632 0.625 0.507
0.875 0.368 0.993
0.250 0.750 0.500
0.500 0.500 0.000
0.000 0.000 0.000
0.750 0.250 0.500
```

* calculated density: 6.401 g/cm³
* space group: No. 122
* offset from the most stable computed form: 0.103 eV/atom
* formation energy from the elements: 215 kJ/mol of formula units